Computed, not measured: crystalline TmGaAgSn at its relaxed geometry at the PBE-GGA level of DFT.

Structure (extended XYZ):
```
4
Lattice="-1.574 -4.733 -0.184 3.315 -3.729 -0.123 0.561 -2.972 3.970" Properties=species:S:1:pos:R:3 pbc="T T T"
Ga 1.727 -8.576 2.747
Tm 0.000 0.000 0.000
Sn 1.151 -5.717 1.832
Ag 0.576 -2.859 0.916
```

Calculated values
* density of states at the Fermi level: 0.787 states/eV per atom
* energy relative to the elements: -0.9 eV per formula unit
* magnetic moment: 0.000 μB per atom
* V: 87.92 Å³ per cell

***

Computed, not measured: crystalline Cr2TeIr at its relaxed geometry at the PBE-GGA level of DFT.

Structure (extended XYZ):
```
4
Lattice="8.402 -0.001 -0.001 7.897 2.868 -0.001 7.897 1.389 2.509" Properties=species:S:1:pos:R:3 pbc="T T T"
Cr 24.167 4.251 2.505
Cr 12.127 2.133 1.257
Ir 6.049 1.064 0.627
Te 18.147 3.192 1.881
```

Calculated values
* density of states at the Fermi level: 1.032 states/eV per atom
* magnetic moment: 0.000 μB per atom
* E_form (uncorrected): 53.7 kJ/mol of atoms
* V: 60.51 Å³ per cell

***

Computed, not measured: crystalline ZnIn2Sn2 at its relaxed geometry at the PBE-GGA level of DFT.

Structure (extended XYZ):
```
10
Lattice="7.241 0.000 0.000 0.000 7.241 0.000 0.000 0.000 5.038" Properties=species:S:1:pos:R:3 pbc="T T T"
Zn 0.000 0.000 0.000
Zn 3.620 3.620 0.000
Sn 1.192 4.812 2.519
Sn 4.812 6.049 2.519
Sn 6.049 2.428 2.519
Sn 2.428 1.192 2.519
In 2.553 6.173 0.000
In 6.173 4.688 0.000
In 4.688 1.068 0.000
In 1.068 2.553 0.000
```

Calculated values
* polymorph energy (0 for the lowest one): 0.0366 eV per atom
* density of states at the Fermi level: 0.384 states/eV per atom
* energy relative to the elements: 0.8 eV per formula unit
* magnetic moment: 0.000 μB per atom
* V: 264.11 Å³ per cell

***

Computed, not measured: crystalline LaTl15In4 at its relaxed geometry at the PBE-GGA level of DFT.

Structure (extended XYZ):
```
20
Lattice="4.734 0.000 0.000 0.000 4.734 0.000 0.000 0.000 26.820" Properties=species:S:1:pos:R:3 pbc="T T T"
La 0.000 0.000 0.000
Tl 2.367 2.367 0.000
Tl 2.367 2.367 5.299
Tl 2.367 2.367 10.734
Tl 2.367 2.367 16.087
Tl 2.367 2.367 21.521
Tl 2.367 0.000 2.616
Tl 2.367 0.000 8.089
Tl 2.367 0.000 13.410
Tl 2.367 0.000 18.732
Tl 2.367 0.000 24.204
Tl 0.000 2.367 2.616
Tl 0.000 2.367 8.089
Tl 0.000 2.367 13.410
Tl 0.000 2.367 18.732
Tl 0.000 2.367 24.204
In 0.000 0.000 5.019
In 0.000 0.000 10.747
In 0.000 0.000 16.073
In 0.000 0.000 21.801
```

Calculated values
* density of states at the Fermi level: 0.644 states/eV per atom
* energy relative to the elements: -0.5 eV per formula unit
* magnetic moment: 0.000 μB per atom
* V: 601.18 Å³ per cell

***

Computed, not measured: crystalline Ac8Tl3Ge2 at its relaxed geometry at the PBE-GGA level of DFT.

Structure (extended XYZ):
```
13
Lattice="6.779 0.000 0.816 0.000 8.908 0.000 -1.569 -4.454 8.586" Properties=species:S:1:pos:R:3 pbc="T T T"
Ac 0.254 4.454 3.151
Ac 4.956 0.000 6.251
Ac 0.495 0.000 2.059
Ac 4.715 4.454 7.343
Ac 1.320 2.279 6.525
Ac 1.320 -2.279 6.525
Ac 3.890 6.733 2.877
Ac 3.890 2.175 2.877
Tl 3.389 0.000 0.408
Tl 0.000 2.867 0.000
Tl 0.000 6.040 0.000
Ge 2.261 0.000 4.626
Ge 2.948 4.454 4.776
```

Calculated values
* density of states at the Fermi level: 1.154 states/eV per atom
* energy relative to the elements: -3.4 eV per formula unit
* magnetic moment: 0.000 μB per atom
* V: 529.84 Å³ per cell

***

Computed, not measured: crystalline LiNiSe2 at its relaxed geometry at the PBE-GGA level of DFT.

Structure (extended XYZ):
```
4
Lattice="-0.989 3.373 -0.770 -3.301 -1.676 -3.104 -5.435 -1.155 1.919" Properties=species:S:1:pos:R:3 pbc="T T T"
Li -2.679 0.979 -0.681
Ni -7.047 -0.437 -1.273
Se -7.880 -2.400 -0.394
Se -5.225 -1.847 -1.382
```

Calculated values
* density of states at the Fermi level: 0.748 states/eV per atom
* magnetic moment: 0.000 μB per atom
* E_form (uncorrected): -44.0 kJ/mol of atoms
* V: 89.09 Å³ per cell

***

Computed, not measured: crystalline SrLaAu at its relaxed geometry at the PBE-GGA level of DFT.

Structure (extended XYZ):
```
3
Lattice="-2.068 4.305 -1.557 -2.922 -3.934 1.107 -0.303 1.521 4.608" Properties=species:S:1:pos:R:3 pbc="T T T"
Au -0.015 0.078 0.236
La -2.706 -0.842 1.265
Sr -2.571 2.657 2.657
```

Calculated values
* polymorph energy (0 for the lowest one): 0.1621 eV per atom
* density of states at the Fermi level: 1.050 states/eV per atom
* energy relative to the elements: -1.0 eV per formula unit
* magnetic moment: 0.000 μB per atom
* V: 106.26 Å³ per cell

***

Computed, not measured: crystalline La2Tl3SbSe6 at its relaxed geometry at the PBE-GGA level of DFT.

Structure (extended XYZ):
```
12
Lattice="4.361 0.000 0.000 0.000 9.174 0.019 -2.180 -2.964 9.471" Properties=species:S:1:pos:R:3 pbc="T T T"
La 2.180 4.146 6.375
La 0.000 2.064 3.114
Tl 2.180 4.587 0.010
Tl 2.180 -0.464 6.282
Tl 0.000 6.674 3.208
Sb 2.180 0.000 0.000
Se 0.000 6.208 6.583
Se 2.180 4.136 3.330
Se 2.180 0.001 2.907
Se 0.000 1.995 0.094
Se 2.180 4.215 9.396
Se 0.000 2.074 6.160
```

Calculated values
* magnetic moment: 0.000 μB per atom
* E_form (uncorrected): -104.6 kJ/mol of atoms
* V: 379.10 Å³ per cell

***

Computed, not measured: crystalline Zr4AsRh at its relaxed geometry at the PBE-GGA level of DFT.

Structure (extended XYZ):
```
6
Lattice="0.000 3.953 3.953 3.953 0.000 3.953 3.953 3.953 0.000" Properties=species:S:1:pos:R:3 pbc="T T T"
Zr 2.963 4.943 4.943
Zr 4.943 4.943 2.963
Zr 4.943 2.963 4.943
Zr 2.963 2.963 2.963
As 5.930 5.930 5.930
Rh 0.000 0.000 0.000
```

Calculated values
* density of states at the Fermi level: 1.114 states/eV per atom
* energy relative to the elements: 1.6 eV per formula unit
* magnetic moment: 0.000 μB per atom
* V: 123.56 Å³ per cell

***

Computed, not measured: crystalline ThCuNi at its relaxed geometry at the PBE-GGA level of DFT.

Structure (extended XYZ):
```
3
Lattice="4.451 0.000 0.000 2.226 3.855 0.000 2.226 1.285 3.634" Properties=species:S:1:pos:R:3 pbc="T T T"
Ni 2.226 1.285 0.909
Cu 0.000 0.000 0.000
Th 4.451 2.570 1.817
```

Calculated values
* density of states at the Fermi level: 0.974 states/eV per atom
* energy relative to the elements: -0.4 eV per formula unit
* magnetic moment: 0.000 μB per atom
* V: 62.36 Å³ per cell

***

Computed, not measured: crystalline V3Re2 at its relaxed geometry at the PBE-GGA level of DFT.

Structure (extended XYZ):
```
10
Lattice="-4.897 0.324 -1.585 -3.775 0.176 3.309 -2.059 6.556 -0.689" Properties=species:S:1:pos:R:3 pbc="T T T"
V -3.555 0.235 -1.151
V -5.248 3.520 0.556
V -2.879 2.045 1.327
V -7.617 4.996 -0.216
V -7.021 5.492 2.241
V -1.027 1.386 -0.337
Re -5.404 0.971 0.514
Re -5.093 6.070 0.597
Re -9.545 4.418 1.428
Re -3.400 2.785 -1.109
```

Calculated values
* polymorph energy (0 for the lowest one): 0.2383 eV per atom
* density of states at the Fermi level: 1.006 states/eV per atom
* energy relative to the elements: -0.4 eV per formula unit
* magnetic moment: 0.000 μB per atom
* V: 142.44 Å³ per cell

***

Computed, not measured: crystalline Be4VRu at its relaxed geometry at the PBE-GGA level of DFT.

Structure (extended XYZ):
```
6
Lattice="-3.516 -0.165 -2.493 -2.476 -3.531 -0.006 -3.922 0.113 1.792" Properties=species:S:1:pos:R:3 pbc="T T T"
Ru 0.000 0.000 0.000
Be -4.239 -2.293 -1.333
Be -4.958 -0.481 -0.439
Be -6.189 -2.237 -0.442
Be -4.441 -2.155 0.798
V -2.478 -0.896 -0.177
```

Calculated values
* density of states at the Fermi level: 0.374 states/eV per atom
* energy relative to the elements: -2.7 eV per formula unit
* magnetic moment: 0.000 μB per atom
* V: 56.73 Å³ per cell

***

Computed, not measured: crystalline PrBe3Co at its relaxed geometry at the PBE-GGA level of DFT.

Structure (extended XYZ):
```
5
Lattice="4.171 0.000 0.000 0.000 4.171 0.000 0.000 0.000 4.171" Properties=species:S:1:pos:R:3 pbc="T T T"
Pr 2.085 2.085 2.085
Be 0.000 2.085 0.000
Be 0.000 0.000 2.085
Be 2.085 0.000 0.000
Co 0.000 0.000 0.000
```

Calculated values
* density of states at the Fermi level: 0.372 states/eV per atom
* energy relative to the elements: -0.2 eV per formula unit
* magnetic moment: 0.000 μB per atom
* V: 72.56 Å³ per cell

***

Computed, not measured: crystalline YIn2Pt at its relaxed geometry at the PBE-GGA level of DFT.

Structure (extended XYZ):
```
4
Lattice="3.607 0.000 0.000 0.000 3.607 0.000 0.000 0.000 7.114" Properties=species:S:1:pos:R:3 pbc="T T T"
In 0.000 0.000 0.082
In 1.804 1.804 1.957
Pt 0.000 0.000 3.561
Y 1.804 1.804 5.070
```

Calculated values
* density of states at the Fermi level: 0.373 states/eV per atom
* energy relative to the elements: -2.2 eV per formula unit
* magnetic moment: 0.000 μB per atom
* V: 92.56 Å³ per cell

***

Computed, not measured: crystalline LaIn3H at its relaxed geometry at the PBE-GGA level of DFT.

Structure (extended XYZ):
```
5
Lattice="6.255 0.000 0.000 0.000 6.255 0.000 0.000 0.000 6.255" Properties=species:S:1:pos:R:3 pbc="T T T"
H 3.127 3.127 3.127
In 0.000 3.127 0.000
In 0.000 0.000 3.127
In 3.127 0.000 0.000
La 0.000 0.000 0.000
```

Calculated values
* polymorph energy (0 for the lowest one): 1.2486 eV per atom
* density of states at the Fermi level: 1.573 states/eV per atom
* magnetic moment: 0.202 μB per atom
* V: 244.68 Å³ per cell

***

Computed, not measured: crystalline Tb8C3S4O at its relaxed geometry at the PBE-GGA level of DFT.

Structure (extended XYZ):
```
16
Lattice="7.428 0.000 0.000 0.000 7.642 0.145 -3.714 -3.709 5.255" Properties=species:S:1:pos:R:3 pbc="T T T"
Tb -1.824 1.848 5.218
Tb 0.000 3.670 2.637
Tb 0.000 0.228 2.785
Tb 1.824 1.848 5.218
Tb 1.890 2.084 0.182
Tb 3.714 3.704 2.615
Tb 3.714 0.263 2.763
Tb 5.538 2.084 0.182
C 3.714 3.821 0.072
C 1.857 1.966 2.700
C -1.857 1.966 2.700
S 3.714 0.000 0.000
S 1.857 -1.855 2.628
S 0.000 0.000 0.000
S -1.857 -1.855 2.628
O 0.000 3.821 0.072
```

Calculated values
* density of states at the Fermi level: 0.234 states/eV per atom
* magnetic moment: 0.000 μB per atom
* E_form (uncorrected): -153.7 kJ/mol of atoms
* V: 302.29 Å³ per cell